# 1
# PBE-GGA AlAgW2, optimized geometry
data_AlAgW2
_chemical_formula_sum 'Al2 Ag2 W4'
_cell_length_a 5.2425
_cell_length_b 4.4293
_cell_length_c 5.6617
_cell_angle_alpha 90.00
_cell_angle_beta 98.29
_cell_angle_gamma 90.00
_symmetry_space_group_name_H-M 'P 1 m 1'
_symmetry_Int_Tables_number 6
loop_
_symmetry_equiv_pos_as_xyz
'x,y,z'
'x,-y,z'
loop_
_atom_site_label
_atom_site_fract_x
_atom_site_fract_y
_atom_site_fract_z
Al1 0.0000 0.0000 0.0000
Al2 0.4942 0.0000 0.7480
Ag1 0.2792 0.5000 0.9050
Ag2 0.7884 0.5000 0.1323
W1 0.2874 0.5000 0.4060
W2 0.5010 0.0000 0.2694
W3 0.7636 0.5000 0.6306
W4 0.9847 0.0000 0.5043
# magnetic moment: 0.00 Bohr magnetons per cell
# E: -7.852 eV per atom
# DOS(E_F): 1.85 states/eV/f.u.

***

# 2
# PBE-GGA AlAgW2, optimized geometry
data_AlAgW2
_chemical_formula_sum 'Al2 Ag2 W4'
_cell_length_a 3.5622
_cell_length_b 4.1069
_cell_length_c 8.7751
_cell_angle_alpha 90.00
_cell_angle_beta 90.00
_cell_angle_gamma 90.00
_symmetry_space_group_name_H-M 'C m m m'
_symmetry_Int_Tables_number 65
_symmetry_space_group_name_Hall '-C 2 2'
loop_
_atom_site_label
_atom_site_fract_x
_atom_site_fract_y
_atom_site_fract_z
Al1 0.0000 0.0000 0.0000
Ag1 0.0000 0.0000 0.5000
W1 0.0000 0.5000 0.2361
# magnetic moment: 0.00 Bohr magnetons per cell
# E: -7.805 eV per atom
# DOS(E_F): 2.68 states/eV/f.u.